(1)
# SrCo2BSb

An optimized crystal structure of SrCo2BSb (PBE, the Alexandria database).

Properties
ΔE_f (raw)	0.95	eV/atom
space group	P4/mmm
V	21.37	Å³ per atom
electronic total energy	-4.3859	eV per atom
DOS(E_F)	5.16	states/eV/cell
total moment	2.18	μB per cell

Cell lengths 4.7692, 4.6978, 4.7692 Å; angles 90.00, 90.00, 90.00 degrees
Last column: nearest neighbours and their distance in Å.
Element x y z (fractional)
Co  0.0000  0.0000  0.5000  2 Sb 2.38
Co  0.5000  0.0000  0.0000  2 Sb 2.38
B  0.0000  0.5000  0.0000  2 Sb 2.35
Sb  0.0000  0.0000  0.0000  2 B 2.35, 4 Co 2.38
Sr  0.5000  0.5000  0.5000  8 Co 3.35, 4 B 3.37

(2)
# TlCo2BSb

An optimized crystal structure of TlCo2BSb (PBE, the Alexandria database).

Properties
ΔE_f (raw)	1.68	eV/atom
space group	P4/mmm
V	19.86	Å³ per atom
electronic total energy	-3.7934	eV per atom
DOS(E_F)	6.51	states/eV/cell
total moment	2.52	μB per cell

Cell lengths 4.9355, 4.0772, 4.9355 Å; angles 90.00, 90.00, 90.00 degrees
Last column: nearest neighbours and their distance in Å.
Element x y z (fractional)
Tl  0.0000  0.0000  0.0000  2 B 2.04
Co  0.5000  0.0000  0.0000  2 Tl 2.47
Co  0.0000  0.0000  0.5000  2 Tl 2.47
B  0.0000  0.5000  0.0000  2 Tl 2.04
Sb  0.5000  0.5000  0.5000  8 Co 3.20, 4 B 3.49

(3)
# Co2BSbW

An optimized crystal structure of Co2BSbW (PBE, the Alexandria database).

Properties
ΔE_f (raw)	2.20	eV/atom
space group	P4/mmm
V	17.43	Å³ per atom
electronic total energy	-5.3958	eV per atom
DOS(E_F)	6.91	states/eV/cell
total moment	4.05	μB per cell

Cell lengths 4.5582, 4.1943, 4.5582 Å; angles 90.00, 90.00, 90.00 degrees
Last column: nearest neighbours and their distance in Å.
Element x y z (fractional)
Co  0.0000  0.0000  0.5000  2 Sb 2.28
Co  0.5000  0.0000  0.0000  2 Sb 2.28
W  0.5000  0.5000  0.5000  8 Co 3.10, 4 B 3.22
B  0.0000  0.5000  0.0000  2 Sb 2.10
Sb  0.0000  0.0000  0.0000  2 B 2.10, 4 Co 2.28

(4)
# Sc3Co3B8

An optimized crystal structure of Sc3Co3B8 (PBE, the Alexandria database).

Properties
space group	Immm
V	9.51	Å³ per atom
electronic total energy	-7.0654	eV per atom
formation energy from the elements	-0.3702	eV per atom
DOS(E_F)	6.02	states/eV/cell
total moment	0.00	μB per cell

Cell lengths 3.1807, 6.7315, 6.7315 Å; angles 75.53, 76.33, 76.33 degrees
Last column: nearest neighbours and their distance in Å.
Element x y z (fractional)
B  0.8200  0.4996  0.8604  3 B 1.83-1.89, 1 Co 1.98
B  0.6376  0.6385  0.0863  3 B 1.83-1.89
B  0.8200  0.8604  0.4996  3 B 1.83-1.89, 1 Co 1.98
B  0.6376  0.0863  0.6385  3 B 1.83-1.89
B  0.1800  0.5004  0.1396  3 B 1.83-1.89, 1 Co 1.98
B  0.3624  0.9137  0.3615  3 B 1.83-1.89
B  0.3624  0.3615  0.9137  3 B 1.83-1.89
B  0.1800  0.1396  0.5004  3 B 1.83-1.89, 1 Co 1.98
Co  0.0000  0.2266  0.7734  6 B 1.98-2.12
Co  0.5000  0.0000  0.0000  4 B 2.32, 4 Co 2.45, 4 Sc 2.58
Co  0.0000  0.7734  0.2266  6 B 1.98-2.12
Sc  0.7998  0.2002  0.2002  10 B 2.49-2.64, 4 Co 2.58-2.76
Sc  0.5000  0.5000  0.5000  12 B 2.67-2.84, 4 Co 2.76
Sc  0.2002  0.7998  0.7998  10 B 2.49-2.64, 4 Co 2.58-2.76

(5)
# ScCo4B4

An optimized crystal structure of ScCo4B4 (PBE, the Alexandria database).

Properties
space group	P4_2/n
energy above the most stable polymorph in this dataset	18.9	meV/atom
V	9.80	Å³ per atom
electronic total energy	-7.3257	eV per atom
formation energy from the elements	-0.4963	eV per atom
DOS(E_F)	9.15	states/eV/cell
total moment	0.00	μB per cell

Cell lengths 3.8486, 6.7702, 6.7702 Å; angles 90.00, 90.00, 90.00 degrees
Last column: nearest neighbours and their distance in Å.
Element x y z (fractional)
Co  0.6120  0.8759  0.6375  4 B 1.97-2.01
Co  0.1120  0.8625  0.3759  4 B 1.97-2.01
Co  0.3880  0.3625  0.8759  4 B 1.97-2.01
Co  0.8880  0.6241  0.8625  4 B 1.97-2.01
Co  0.1120  0.1375  0.6241  4 B 1.97-2.01
Co  0.6120  0.1241  0.3625  4 B 1.97-2.01
Co  0.8880  0.3759  0.1375  4 B 1.97-2.01
Co  0.3880  0.6375  0.1241  4 B 1.97-2.01
B  0.3917  0.3083  0.1673  1 B 1.75
B  0.6083  0.8327  0.3083  1 B 1.75
B  0.8917  0.6673  0.1917  1 B 1.75
B  0.1083  0.8083  0.6673  1 B 1.75
B  0.8917  0.3327  0.8083  1 B 1.75
B  0.3917  0.6917  0.8327  1 B 1.75
B  0.1083  0.1917  0.3327  1 B 1.75
B  0.6083  0.1673  0.6917  1 B 1.75
Sc  0.5000  0.5000  0.5000  8 B 2.63-2.81, 4 Co 2.74
Sc  0.0000  0.0000  0.0000  8 B 2.63-2.81, 4 Co 2.74

(6)
# ScCo6B4

An optimized crystal structure of ScCo6B4 (PBE, the Alexandria database).

Properties
space group	I-42m
V	9.47	Å³ per atom
electronic total energy	-7.1543	eV per atom
formation energy from the elements	-0.2746	eV per atom
DOS(E_F)	11.62	states/eV/cell
total moment	3.28	μB per cell

Cell lengths 5.3104, 5.3104, 5.3104 Å; angles 88.21, 121.04, 121.04 degrees
Last column: nearest neighbours and their distance in Å.
Element x y z (fractional)
B  0.0000  0.2841  0.5812  2 B 1.86, 3 Co 2.03-2.06
B  0.7030  0.4188  0.4188  2 B 1.86, 3 Co 2.03-2.06
B  0.2970  0.7159  0.7159  2 B 1.86, 3 Co 2.03-2.06
B  0.0000  0.5812  0.2841  2 B 1.86, 3 Co 2.03-2.06
Co  0.5000  0.5000  0.0000  4 B 2.06
Co  0.6197  0.0930  0.0930  4 B 2.03-2.19
Co  0.3803  0.4733  0.4733  4 B 2.03-2.19
Co  0.0000  0.9070  0.5267  4 B 2.03-2.19
Co  0.0000  0.5267  0.9070  4 B 2.03-2.19
Co  0.5000  0.0000  0.5000  4 B 2.06
Sc  0.0000  0.0000  0.0000  12 Co 2.58-2.82, 4 B 2.65